# FeCoAg2

A relaxed FeCoAg2 crystal (PBE-GGA, Alexandria via LeMat-Bulk).

Properties
The calculation puts the calculated density at 9.2 Mg/m³. The energy relative to the elements is 211 meV/atom. The value obtained for the total energy is -5.1063 eV/atom.

a b c (Å): 2.9000 2.8558 7.7327
angles (deg): 68.21 90.00 90.00
Last column: nearest neighbours and their distance in Å.
Element x y z (fractional)
Ag1 0.5000 0.2258 0.2748  4 Co 2.78, 8 Ag 2.86-2.95, 1 Fe 3.11
Ag2 0.0000 0.0214 0.9784  4 Fe 2.81, 8 Ag 2.86-2.95
Fe1 0.5000 0.7917 0.7081  4 Co 2.37
Co1 0.0000 0.4612 0.5387  4 Fe 2.37